(1)
This record from the Alexandria database describes crystalline VRuPbO5 at its relaxed geometry. The functional is PBE with a Hubbard U.

Unit cell a=5.3512 b=5.3512 c=9.6967 alpha=102.86 beta=102.86 gamma=99.94
Last column: nearest neighbours and their distance in Å.
Atoms (fractional coordinates):
1 V 0.0815 0.9185 0.7500  4 O 1.76-1.78
2 V 0.9185 0.0815 0.2500  4 O 1.76-1.78
3 Ru 0.4299 0.5701 0.7500  1 O 1.77
4 Ru 0.5701 0.4299 0.2500  1 O 1.77
5 Pb 0.0000 0.5000 0.0000  6 O 2.52-2.67
6 Pb 0.5000 0.0000 0.5000  6 O 2.52-2.67
7 O 0.1641 0.2612 0.7758  1 V 1.76
8 O 0.1941 0.7388 0.6083  1 V 1.78
9 O 0.2612 0.1641 0.2758  1 V 1.76
10 O 0.2612 0.8059 0.8917  1 V 1.78
11 O 0.3537 0.6463 0.2500  1 Ru 1.77
12 O 0.6463 0.3537 0.7500  1 Ru 1.77
13 O 0.7388 0.1941 0.1083  1 V 1.78
14 O 0.7388 0.8359 0.7242  1 V 1.76
15 O 0.8059 0.2612 0.3917  1 V 1.78
16 O 0.8359 0.7388 0.2242  1 V 1.76

magnetic moment = 1.0 μB per formula unit
density = 5.68 g/cm³
energy = -6.81 eV per atom
V = 128 Å³/f.u.
Fermi-level density of states = 0.01 states/eV per atom

(2)
This record from the Alexandria database describes crystalline VRuPb2O6 at its relaxed geometry. The functional is PBE with a Hubbard U.

Unit cell a=5.6451 b=5.6451 c=4.0019 alpha=90.00 beta=90.00 gamma=90.00
Last column: nearest neighbours and their distance in Å.
Atoms (fractional coordinates):
1 V 0.0000 0.0000 0.0000  1 O 1.77
2 Ru 0.5000 0.5000 0.0465  6 O 1.99-2.03
3 Pb 0.0000 0.5000 0.4744  8 O 2.58-2.84
4 Pb 0.5000 0.0000 0.4744  8 O 2.58-2.84
5 O 0.0000 0.0000 0.5574  1 V 1.77
6 O 0.2464 0.2464 0.0671  1 V 1.99, 1 Ru 2.03
7 O 0.2464 0.7536 0.0671  1 V 1.99, 1 Ru 2.03
8 O 0.5000 0.5000 0.5484  2 Ru 1.99-2.01
9 O 0.7536 0.2464 0.0671  1 V 1.99, 1 Ru 2.03
10 O 0.7536 0.7536 0.0671  1 V 1.99, 1 Ru 2.03

magnetic moment = 0.8 μB per formula unit
density = 8.63 g/cm³
energy = -6.67 eV per atom
V = 128 Å³/f.u.
Fermi-level density of states = 0.17 states/eV per atom

(3)
This record from the Alexandria database describes crystalline RuPbWO6 at its relaxed geometry. The functional is PBE with a Hubbard U.

Unit cell a=7.3646 b=7.3646 c=7.3646 alpha=121.77 beta=120.15 gamma=88.35
Last column: nearest neighbours and their distance in Å.
Atoms (fractional coordinates):
1 Ru 0.5000 0.0000 0.0000  6 O 1.94-1.99
2 Ru 0.5000 0.5000 0.5000  6 O 1.94-1.99
3 Pb 0.2196 0.4696 0.7500  1 O 2.23
4 Pb 0.7804 0.5304 0.2500  1 O 2.23
5 W 0.0000 0.0000 0.0000  6 O 1.94-1.95
6 W 0.5000 0.0000 0.5000  6 O 1.94-1.95
7 O 0.1819 0.3150 0.2625  1 W 1.94, 1 Ru 1.99
8 O 0.1819 0.9194 0.8669  1 W 1.94, 1 Ru 1.99
9 O 0.1867 0.9367 0.2500  2 W 1.95
10 O 0.4306 0.6806 0.7500  2 Ru 1.94
11 O 0.4475 0.0806 0.7625  1 W 1.94, 1 Ru 1.99
12 O 0.4475 0.6850 0.3669  1 W 1.94, 1 Ru 1.99
13 O 0.5525 0.3150 0.6331  1 W 1.94, 1 Ru 1.99
14 O 0.5525 0.9194 0.2375  1 W 1.94, 1 Ru 1.99
15 O 0.5694 0.3194 0.2500  2 Ru 1.94
16 O 0.8133 0.0633 0.7500  2 W 1.95
17 O 0.8181 0.0806 0.1331  1 W 1.94, 1 Ru 1.99
18 O 0.8181 0.6850 0.7375  1 W 1.94, 1 Ru 1.99

magnetic moment = 1.7 μB per formula unit
density = 7.02 g/cm³
energy = -6.90 eV per atom
V = 139 Å³/f.u.
Fermi-level density of states = 0.36 states/eV per atom

density of number 3 (RuPbWO6)? 7.02 g/cm³

Repeat the first record exactly.
This record from the Alexandria database describes crystalline VRuPbO5 at its relaxed geometry. The functional is PBE with a Hubbard U.

Unit cell a=5.3512 b=5.3512 c=9.6967 alpha=102.86 beta=102.86 gamma=99.94
Last column: nearest neighbours and their distance in Å.
Atoms (fractional coordinates):
1 V 0.0815 0.9185 0.7500  4 O 1.76-1.78
2 V 0.9185 0.0815 0.2500  4 O 1.76-1.78
3 Ru 0.4299 0.5701 0.7500  1 O 1.77
4 Ru 0.5701 0.4299 0.2500  1 O 1.77
5 Pb 0.0000 0.5000 0.0000  6 O 2.52-2.67
6 Pb 0.5000 0.0000 0.5000  6 O 2.52-2.67
7 O 0.1641 0.2612 0.7758  1 V 1.76
8 O 0.1941 0.7388 0.6083  1 V 1.78
9 O 0.2612 0.1641 0.2758  1 V 1.76
10 O 0.2612 0.8059 0.8917  1 V 1.78
11 O 0.3537 0.6463 0.2500  1 Ru 1.77
12 O 0.6463 0.3537 0.7500  1 Ru 1.77
13 O 0.7388 0.1941 0.1083  1 V 1.78
14 O 0.7388 0.8359 0.7242  1 V 1.76
15 O 0.8059 0.2612 0.3917  1 V 1.78
16 O 0.8359 0.7388 0.2242  1 V 1.76

magnetic moment = 1.0 μB per formula unit
density = 5.68 g/cm³
energy = -6.81 eV per atom
V = 128 Å³/f.u.
Fermi-level density of states = 0.01 states/eV per atom

The lowest Fermi-level density of states belongs to which entry? VRuPbO5